Record 1
# NaYCuF6

NaYCuF6 after structural relaxation (PBE, Alexandria via LeMat-Bulk).

The structure in extended XYZ format:
```
18
Lattice="5.641 0.000 0.000 -2.821 4.886 0.000 0.000 0.000 9.590" Properties=species:S:1:pos:R:3 pbc="T T T"
F -0.915 1.775 6.091
Na 0.000 0.000 4.795
Y 2.821 1.629 7.193
F 1.741 3.206 6.091
F 1.080 1.679 3.499
Na 0.000 0.000 0.000
F -1.741 3.206 8.294
F 0.915 1.775 8.294
Cu 0.000 3.257 7.193
Cu 2.821 1.629 2.398
F 1.994 0.095 1.296
F 0.827 4.790 8.294
F 1.906 3.111 1.296
F 4.562 1.679 1.296
Y 0.000 3.257 2.398
F 3.647 0.095 3.499
F 3.735 3.111 3.499
F -0.827 4.790 6.091
```



Record 2
# NaZn2CuF8

NaZn2CuF8 after structural relaxation (PBE, Alexandria via LeMat-Bulk).

The structure in extended XYZ format:
```
12
Lattice="4.796 0.030 -0.003 0.077 4.785 -0.006 0.004 0.007 6.439" Properties=species:S:1:pos:R:3 pbc="T T T"
F 1.015 3.831 5.046
F 3.863 0.992 1.383
F 3.317 3.297 3.213
Zn 2.438 2.409 1.616
Zn 2.440 2.413 4.813
Na 0.002 0.004 3.219
F 1.434 1.399 -0.003
F 1.561 1.525 3.216
F 3.439 3.416 -0.006
F 3.865 0.996 5.048
F 1.013 3.827 1.382
Cu 0.000 0.000 0.000
```



Record 3
# Na2ZrCuF8

Na2ZrCuF8 after structural relaxation (PBE, Alexandria via LeMat-Bulk).

The structure in extended XYZ format:
```
12
Lattice="-0.984 4.971 -0.295 -4.752 -1.392 -1.312 -1.562 0.455 6.671" Properties=species:S:1:pos:R:3 pbc="T T T"
F -5.304 -0.057 3.792
Cu 0.000 0.000 0.000
F -1.995 4.091 1.272
Zr -0.781 0.227 3.336
F -4.220 2.608 -1.178
Na -4.122 2.027 4.279
F -3.079 1.426 6.243
Na -3.177 2.007 0.785
F -4.873 2.724 2.201
F -4.395 0.046 0.874
F -2.426 1.310 2.863
F -2.904 3.988 4.191
```



Record 4
# NbCu2F

NbCu2F after structural relaxation (PBE, Alexandria via LeMat-Bulk).

The structure in extended XYZ format:
```
8
Lattice="-6.785 -0.850 1.185 1.163 -6.554 1.963 -2.522 -3.007 3.723" Properties=species:S:1:pos:R:3 pbc="T T T"
Cu -4.460 -2.069 1.870
Cu -1.017 -4.987 2.352
F -2.811 -3.702 1.574
Nb -6.059 -3.779 3.241
Cu -3.954 -5.288 4.049
Nb 0.000 0.000 0.000
Cu -6.856 -8.476 5.470
F -2.085 -6.631 3.630
```

ΔE to the lowest computed polymorph	0.000	eV per formula unit



Record 5
# NbCu2F8

NbCu2F8 after structural relaxation (PBE, Alexandria via LeMat-Bulk).

The structure in extended XYZ format:
```
11
Lattice="4.019 0.000 0.000 0.000 5.696 -3.289 0.000 0.000 6.578" Properties=species:S:1:pos:R:3 pbc="T T T"
Nb 2.010 0.000 0.000
F 0.985 1.652 0.000
F 3.034 0.826 1.431
F 2.971 3.798 0.000
F 0.985 4.870 -1.858
F 3.034 4.044 3.289
F 1.048 1.899 3.289
Cu 3.059 1.899 3.289
F 0.985 4.870 1.858
Cu 0.961 3.798 0.000
F 3.034 0.826 5.147
```



Record 6
# NbCu2F

NbCu2F after structural relaxation (PBE, Alexandria via LeMat-Bulk).

The structure in extended XYZ format:
```
4
Lattice="-0.039 -4.270 0.481 1.411 -1.763 3.656 -2.781 -1.831 2.716" Properties=species:S:1:pos:R:3 pbc="T T T"
Cu -1.057 -5.898 5.141
F 0.000 0.000 0.000
Nb -0.704 -3.932 3.427
Cu -0.352 -1.966 1.714
```

ΔE to the lowest computed polymorph	1.510	eV per formula unit



Record 7
# NbCuF6

NbCuF6 after structural relaxation (PBE, Alexandria via LeMat-Bulk).

The structure in extended XYZ format:
```
16
Lattice="5.221 0.000 0.000 -2.610 4.521 0.000 0.000 0.000 9.859" Properties=species:S:1:pos:R:3 pbc="T T T"
Nb 0.000 0.000 0.000
F -1.707 3.213 3.786
F 4.317 1.308 6.073
F 1.930 3.085 6.073
F -0.681 1.437 1.144
Cu 0.000 3.014 2.465
F 3.636 0.129 8.716
F 1.585 0.129 6.073
F 0.904 1.308 8.716
F 0.681 1.437 3.786
Cu 2.610 1.507 7.394
F -1.026 4.392 1.144
F 1.707 3.213 1.144
F 3.291 3.085 8.716
F 1.026 4.392 3.786
Nb 0.000 0.000 4.930
```



Record 8
# NbCuOF2

NbCuOF2 after structural relaxation (PBE, Alexandria via LeMat-Bulk).

The structure in extended XYZ format:
```
5
Lattice="-3.695 1.462 1.567 0.410 -2.584 3.377 1.942 2.835 1.933" Properties=species:S:1:pos:R:3 pbc="T T T"
Cu -0.672 0.857 3.439
O 0.971 1.418 0.967
Nb 0.000 0.000 0.000
F -1.848 0.731 0.784
F 0.205 -1.292 1.689
```

ΔE to the lowest computed polymorph	0.000	eV per formula unit



Record 9
# NbCuOF2

NbCuOF2 after structural relaxation (PBE, Alexandria via LeMat-Bulk).

The structure in extended XYZ format:
```
5
Lattice="3.939 0.000 0.000 0.000 3.939 0.000 0.000 0.000 3.948" Properties=species:S:1:pos:R:3 pbc="T T T"
Cu 0.000 0.000 0.000
O 0.000 0.000 1.974
Nb 1.970 1.970 1.974
F 0.000 1.970 0.000
F 1.970 0.000 0.000
```

ΔE to the lowest computed polymorph	4.047	eV per formula unit



Record 10
# NbCuO3F

NbCuO3F after structural relaxation (PBE, Alexandria via LeMat-Bulk).

The structure in extended XYZ format:
```
12
Lattice="3.847 -0.004 -0.013 0.388 6.639 -0.006 -1.156 -2.565 6.221" Properties=species:S:1:pos:R:3 pbc="T T T"
O 0.877 -0.280 2.427
Nb 2.141 3.040 5.208
Cu 2.039 -0.377 4.016
O 0.217 3.322 5.703
Nb 0.939 1.030 0.995
O 2.111 1.477 4.315
F -0.276 -0.562 5.302
O 0.969 2.593 1.888
O 2.203 4.350 3.776
O 2.864 0.748 0.499
Cu 1.041 4.447 2.186
F 3.356 4.632 0.900
```



Record 11
# Rb2NbCuF6

Rb2NbCuF6 after structural relaxation (PBE, Alexandria via LeMat-Bulk).

The structure in extended XYZ format:
```
10
Lattice="-5.016 2.510 2.336 -3.175 -1.838 -4.843 -5.069 -3.591 0.875" Properties=species:S:1:pos:R:3 pbc="T T T"
Cu -4.096 0.336 -1.253
Rb -7.090 -0.373 0.979
F -6.160 0.505 -1.885
F -2.031 0.167 -0.622
F -4.560 1.432 0.556
F -3.632 -0.760 -3.063
Nb 0.000 0.000 0.000
F -8.637 -1.127 -1.532
Rb -6.170 -2.546 -2.611
F -4.623 -1.792 -0.100
```



Record 12
# Rb2NbCuF

Rb2NbCuF after structural relaxation (PBE, Alexandria via LeMat-Bulk).

The structure in extended XYZ format:
```
5
Lattice="-4.304 1.295 -2.133 -2.527 -5.555 1.726 -1.515 2.022 4.286" Properties=species:S:1:pos:R:3 pbc="T T T"
Rb -2.152 0.648 -1.066
Cu -1.264 -2.777 0.863
F 0.000 0.000 0.000
Rb -0.758 1.011 2.143
Nb -4.173 -1.119 1.940
```



Number 1: calculated total energy -5.4458 eV/atom, ρ 3.6 Mg/m³. Number 2: calculated total energy -3.9890 eV/atom, ρ 4.2 Mg/m³. Number 3: calculated total energy -5.3728 eV/atom, ρ 3.3 Mg/m³. Number 4: calculated total energy -5.1625 eV/atom, ρ 7.2 Mg/m³. Number 5: calculated total energy -5.1973 eV/atom, ρ 4.1 Mg/m³. Number 6: calculated total energy -4.7851 eV/atom, ρ 7.1 Mg/m³. Number 7: calculated total energy -5.7082 eV/atom, ρ 3.9 Mg/m³. Number 8: calculated total energy -6.0712 eV/atom, ρ 4.9 Mg/m³. Number 9: calculated total energy -5.2619 eV/atom, ρ 5.7 Mg/m³. Number 10: calculated total energy -7.1269 eV/atom, ρ 4.7 Mg/m³. Number 11: calculated total energy -5.0747 eV/atom, ρ 4.3 Mg/m³. Number 12: calculated total energy -3.2979 eV/atom, ρ 3.7 Mg/m³.